# 1
Here is Dy2MnGa4Ir3 after structural relaxation from Alexandria. Energies are from PBE.

a = 3.9904 Å, b = 3.9904 Å, c = 11.3237 Å
α = 90.00°, β = 90.00°, γ = 90.00°
With the nearest neighbours (Å) after each atom.
Space group P-4m2 (No. 115)
Unique sites:
1 Dy 0.0000 0.5000 0.2487 (multiplicity 2)  4 Ir 3.07, 4 Ga 3.10
2 Mn 0.0000 0.0000 0.5000 (multiplicity 1)  4 Ga 2.53, 4 Ir 2.82
3 Ga 0.0000 0.0000 0.0000 (multiplicity 1)  4 Ir 2.56, 4 Ga 2.82
4 Ga 0.0000 0.5000 0.6374 (multiplicity 2)  3 Ir 2.51-2.53, 2 Mn 2.53
5 Ga 0.5000 0.5000 0.0000 (multiplicity 1)  4 Ir 2.56, 4 Ga 2.82
6 Ir 0.0000 0.5000 0.8588 (multiplicity 2)  5 Ga 2.51-2.56
7 Ir 0.5000 0.5000 0.5000 (multiplicity 1)  4 Ga 2.53, 4 Mn 2.82

Properties
For the formation energy, the calculation gives -624 meV per atom. As for the calculated volume: 180 Å³/cell. The value obtained for the uncorrected energy is -63.30 eV for the cell shown.

# 2
Here is NdDyGaIr after structural relaxation from Alexandria. Energies are from PBE.

a = 7.1314 Å, b = 7.1314 Å, c = 7.1314 Å
α = 90.00°, β = 90.00°, γ = 90.00°
With the nearest neighbours (Å) after each atom.
Space group F-43m (No. 216)
Unique sites:
1 Nd 0.0000 0.0000 0.0000 (multiplicity 4)  4 Ir 3.09, 4 Ga 3.09
2 Dy 0.0000 0.0000 0.5000 (multiplicity 4)  4 Ir 3.09, 4 Ga 3.09
3 Ga 0.2500 0.2500 0.2500 (multiplicity 4)  4 Dy 3.09, 4 Nd 3.09
4 Ir 0.2500 0.2500 0.7500 (multiplicity 4)  4 Dy 3.09, 4 Nd 3.09

Properties
The offset from the most stable computed form is 0.41 eV/f.u. For the formation energy, the calculation gives -581 meV per atom. As for the calculated volume: 363 Å³/cell. The value obtained for the uncorrected energy is -94.33 eV for the cell shown.

# 3
Here is NdDyGaIr after structural relaxation from Alexandria. Energies are from PBE.

a = 4.2379 Å, b = 4.1332 Å, c = 10.8551 Å
α = 90.00°, β = 90.00°, γ = 90.00°
With the nearest neighbours (Å) after each atom.
Space group Amm2 (No. 38)
Unique sites:
1 Nd 0.0000 0.0000 0.0000 (multiplicity 2)  3 Ir 3.03-3.17, 4 Ga 3.09
2 Dy 0.5000 0.0000 0.7175 (multiplicity 2)  3 Ga 3.02-3.23, 4 Ir 3.03
3 Ga 0.5000 0.0000 0.4198 (multiplicity 2)  2 Ir 2.61
4 Ir 0.0000 0.0000 0.2788 (multiplicity 2)  2 Ga 2.61

Properties
The offset from the most stable computed form is 0.00 eV/f.u. For the formation energy, the calculation gives -684 meV per atom. As for the calculated volume: 190 Å³/cell. The value obtained for the uncorrected energy is -47.99 eV for the cell shown.

# 4
Here is Dy2Ga4NiIr3 after structural relaxation from Alexandria. Energies are from PBE.

a = 4.0652 Å, b = 4.0652 Å, c = 10.7970 Å
α = 90.00°, β = 90.00°, γ = 90.00°
With the nearest neighbours (Å) after each atom.
Space group P-4m2 (No. 115)
Unique sites:
1 Dy 0.0000 0.5000 0.2453 (multiplicity 2)  6 Ir 3.12-3.34, 8 Ga 3.15-3.42, 2 Ni 3.34
2 Ga 0.0000 0.0000 0.5000 (multiplicity 1)  4 Ir 2.55
3 Ga 0.0000 0.5000 0.8731 (multiplicity 2)  2 Ni 2.45, 3 Ir 2.45-2.48
4 Ga 0.5000 0.5000 0.5000 (multiplicity 1)  4 Ir 2.55
5 Ni 0.5000 0.5000 0.0000 (multiplicity 1)  4 Ga 2.45
6 Ir 0.0000 0.0000 0.0000 (multiplicity 1)  4 Ga 2.45
7 Ir 0.0000 0.5000 0.6431 (multiplicity 2)  5 Ga 2.48-2.55

Properties
For the formation energy, the calculation gives -673 meV per atom. As for the calculated volume: 178 Å³/cell. The value obtained for the uncorrected energy is -60.41 eV for the cell shown.

# 5
Here is DyGa5Ni2Ir after structural relaxation from Alexandria. Energies are from PBE.

a = 4.6347 Å, b = 4.6347 Å, c = 6.9782 Å
α = 90.00°, β = 90.00°, γ = 90.00°
With the nearest neighbours (Å) after each atom.
Space group P4/mmm (No. 123)
Unique sites:
1 Dy 0.0000 0.0000 0.0000 (multiplicity 1)  12 Ga 3.14-3.28, 2 Ir 3.49
2 Ga 0.0000 0.5000 0.3042 (multiplicity 4)  2 Ni 2.32
3 Ga 0.5000 0.5000 0.0000 (multiplicity 1)  2 Ni 2.28
4 Ni 0.5000 0.5000 0.3265 (multiplicity 2)  5 Ga 2.28-2.32, 1 Ni 2.42
5 Ir 0.0000 0.0000 0.5000 (multiplicity 1)  8 Ga 2.69

Properties
For the formation energy, the calculation gives -256 meV per atom. As for the calculated volume: 150 Å³/cell. The value obtained for the uncorrected energy is -42.46 eV for the cell shown.

# 6
Here is Dy2Ga3Ni12Ir after structural relaxation from Alexandria. Energies are from PBE.

a = 5.1531 Å, b = 5.1531 Å, c = 34.1371 Å
α = 90.00°, β = 90.00°, γ = 120.00°
With the nearest neighbours (Å) after each atom.
Space group R-3m (No. 166, hexagonal axes)
Unique sites:
1 Dy 0.0000 0.0000 0.1426 (multiplicity 6)  6 Ni 2.82, 3 Ir 3.09
2 Ga 0.0000 0.5000 0.0000 (multiplicity 9)  4 Ni 2.40, 4 Ga 2.58
3 Ni 0.0009 0.5005 0.8912 (multiplicity 18)  6 Ni 2.41-2.58, 1 Ir 2.47
4 Ni 0.0182 0.5091 0.6126 (multiplicity 18)  2 Ga 2.40, 4 Ni 2.41-2.44
5 Ir 0.0000 0.0000 0.5000 (multiplicity 3)  6 Ni 2.47

Properties
For the formation energy, the calculation gives -56 meV per atom. As for the calculated volume: 785 Å³/cell. The value obtained for the uncorrected energy is -292.58 eV for the cell shown.

- The lowest calculated volume belongs to which entry?
  DyGa5Ni2Ir

- Which of these has the highest uncorrected energy?
  DyGa5Ni2Ir

- Which value of uncorrected energy does entry 5 give?
  -42.46 eV for the cell shown

- What is the formula in the second record?
  NdDyGaIr